Entry 1:
Entry from Alexandria: LiZr2P3O12 at its PBEsol-relaxed geometry (meta-GGA SCAN).

abc: 8.8618 8.9728 12.4289
angles: 90.00 90.79 90.00
Last column: nearest neighbours and their distance in Å.
Sites, in units of the cell vectors:
1 Zr 0.7544 0.5452 0.6106  6 O 2.01-2.12
2 Zr 0.2490 0.5250 0.8780  6 O 2.04-2.08
3 Zr 0.2510 0.0250 0.6220  6 O 2.04-2.08
4 Zr 0.7510 0.4750 0.1220  6 O 2.04-2.08
5 Zr 0.2456 0.4548 0.3894  6 O 2.01-2.12
6 Zr 0.7456 0.0452 0.8894  6 O 2.01-2.12
7 Zr 0.7490 0.9750 0.3780  6 O 2.04-2.08
8 Zr 0.2544 0.9548 0.1106  6 O 2.01-2.12
9 P 0.0351 0.7494 0.4880  4 O 1.53-1.56
10 P 0.6151 0.9010 0.6449  4 O 1.52-1.56
11 P 0.3849 0.0990 0.3551  4 O 1.52-1.56
12 P 0.8849 0.4010 0.8551  4 O 1.52-1.56
13 P 0.5351 0.7506 0.9880  4 O 1.53-1.56
14 P 0.4649 0.2494 0.0120  4 O 1.53-1.56
15 P 0.9649 0.2506 0.5120  4 O 1.53-1.56
16 P 0.1151 0.5990 0.1449  4 O 1.52-1.56
17 P 0.9030 0.1225 0.1463  4 O 1.53-1.55
18 P 0.4030 0.3775 0.6463  4 O 1.53-1.55
19 P 0.0970 0.8775 0.8537  4 O 1.53-1.55
20 P 0.5970 0.6225 0.3537  4 O 1.53-1.55
21 O 0.5537 0.1377 0.9433  1 P 1.54
22 O 0.4463 0.8623 0.0567  1 P 1.54
23 O 0.6261 0.7880 0.3321  1 P 1.53
24 O 0.8205 0.0222 0.2256  1 P 1.53
25 O 0.8739 0.2880 0.1679  1 P 1.53
26 O 0.3254 0.0565 0.4654  1 P 1.52
27 O 0.3205 0.4778 0.7256  1 P 1.53
28 O 0.1486 0.9180 0.9694  1 P 1.55
29 O 0.8254 0.4435 0.9654  1 P 1.52
30 O 0.9428 0.6052 0.1456  1 P 1.53
31 O 0.8778 0.1464 0.4366  1 P 1.53
32 O 0.3286 0.9798 0.2728  1 P 1.56
33 O 0.9463 0.6377 0.5567  1 P 1.54
34 O 0.5756 0.4034 0.6564  1 P 1.55
35 O 0.8514 0.0820 0.0306  1 P 1.55
36 O 0.9244 0.9034 0.8436  1 P 1.55
37 O 0.3478 0.1644 0.0811  1 P 1.56
38 O 0.3778 0.3536 0.9366  1 P 1.53
39 O 0.6795 0.5222 0.2744  1 P 1.53
40 O 0.1811 0.7531 0.1796  1 P 1.56
41 O 0.0711 0.1661 0.5882  1 P 1.53
42 O 0.6522 0.8356 0.9189  1 P 1.56
43 O 0.9289 0.8339 0.4118  1 P 1.53
44 O 0.8478 0.3356 0.5811  1 P 1.56
45 O 0.6811 0.7469 0.6796  1 P 1.56
46 O 0.1522 0.6644 0.4189  1 P 1.56
47 O 0.5711 0.3339 0.0882  1 P 1.53
48 O 0.0537 0.3623 0.4433  1 P 1.54
49 O 0.1261 0.7120 0.8321  1 P 1.53
50 O 0.6746 0.9435 0.5346  1 P 1.52
51 O 0.1714 0.4798 0.2272  1 P 1.56
52 O 0.8189 0.2469 0.8204  1 P 1.56
53 O 0.0756 0.0966 0.1564  1 P 1.55
54 O 0.4244 0.5966 0.3436  1 P 1.55
55 O 0.8286 0.5202 0.7728  1 P 1.56
56 O 0.1795 0.9778 0.7744  1 P 1.53
57 O 0.3189 0.2531 0.3204  1 P 1.56
58 O 0.6486 0.5820 0.4694  1 P 1.55
59 O 0.6714 0.0202 0.7272  1 P 1.56
60 O 0.1222 0.8536 0.5634  1 P 1.53
61 O 0.1746 0.5565 0.0346  1 P 1.52
62 O 0.6222 0.6464 0.0634  1 P 1.53
63 O 0.5572 0.1052 0.3544  1 P 1.53
64 O 0.0572 0.3948 0.8544  1 P 1.53
65 O 0.3739 0.2120 0.6679  1 P 1.53
66 O 0.4428 0.8948 0.6456  1 P 1.53
67 O 0.4289 0.6661 0.9118  1 P 1.53
68 O 0.3514 0.4180 0.5306  1 P 1.55
69 Li 0.2905 0.7756 0.3215  4 O 1.96-2.01
70 Li 0.7905 0.7244 0.8215  4 O 1.96-2.01
71 Li 0.7095 0.2244 0.6785  4 O 1.96-2.01
72 Li 0.2095 0.2756 0.1785  4 O 1.96-2.01

E_form (uncorrected)   -3.0127 eV/atom
Space-group type   P2_1/c (14)
Energy relative to the lowest polymorph listed for this composition   0 meV per atom
DOS(E_F)   0.000 states/eV per atom
Total DFT energy (no corrections)   -12.444 eV/atom

=====

Entry 2:
Entry from Alexandria: LiLaN2F at its PBEsol-relaxed geometry (meta-GGA SCAN).

abc: 4.2783 4.2783 4.7156
angles: 90.00 90.00 90.00
Last column: nearest neighbours and their distance in Å.
Sites, in units of the cell vectors:
1 La 0.0000 0.0000 0.0000  4 N 2.14, 2 F 2.36
2 N 0.5000 0.0000 0.0000  2 La 2.14
3 N 0.0000 0.5000 0.0000  2 La 2.14
4 Li 0.5000 0.5000 0.5000  4 F 3.03, 8 N 3.18
5 F 0.0000 0.0000 0.5000  2 La 2.36

E_form (uncorrected)   -0.4795 eV/atom
Space-group type   P4/mmm (123)
DOS(E_F)   0.178 states/eV per atom
Total DFT energy (no corrections)   -14.003 eV/atom

=====

Entry 3:
Entry from Alexandria: Er at its PBEsol-relaxed geometry (meta-GGA SCAN).

abc: 3.3699 5.4105 5.4105
angles: 120.00 90.00 90.00
Last column: nearest neighbours and their distance in Å.
Sites, in units of the cell vectors:
1 Er 0.0000 0.0000 0.0000  14 Er 3.37-3.55
2 Er 0.5000 0.6667 0.3333  5 Er 3.12-3.37
3 Er 0.5000 0.3333 0.6667  5 Er 3.12-3.37

Space-group type   P6/mmm (191)
Energy relative to the lowest polymorph listed for this composition   58 meV per atom
DOS(E_F)   1.610 states/eV per atom
Total DFT energy (no corrections)   -50.283 eV/atom

=====

Entry 4:
Entry from Alexandria: ZrIn4 at its PBEsol-relaxed geometry (meta-GGA SCAN).

abc: 4.0269 4.0269 8.1634
angles: 104.28 104.28 90.00
Last column: nearest neighbours and their distance in Å.
Sites, in units of the cell vectors:
1 In 0.4085 0.4085 0.8169  1 In 2.80
2 In 0.5915 0.5915 0.1831  1 In 2.80
3 In 0.7500 0.2500 0.5000  8 In 2.85-3.15
4 In 0.2500 0.7500 0.5000  8 In 2.85-3.15
5 Zr 0.0000 0.0000 0.0000  8 In 3.17

Space-group type   I4/mmm (139)
Energy relative to the lowest polymorph listed for this composition   296 meV per atom
DOS(E_F)   0.506 states/eV per atom
Total DFT energy (no corrections)   -32.697 eV/atom

=====

Entry 5:
Entry from Alexandria: InFeHg at its PBEsol-relaxed geometry (meta-GGA SCAN).

abc: 2.9600 2.9600 6.5595
angles: 103.07 103.07 89.86
Last column: nearest neighbours and their distance in Å.
Sites, in units of the cell vectors:
1 In 0.3514 0.3514 0.7028  4 Fe 2.79, 4 In 2.96
2 Hg 0.6491 0.6491 0.2981  4 Fe 2.80, 4 Hg 2.96
3 Fe 0.9995 0.9995 0.9990  4 In 2.79, 4 Hg 2.80, 4 Fe 2.96

Space-group type   Fmm2 (42)
DOS(E_F)   0.487 states/eV per atom
Total DFT energy (no corrections)   -39.598 eV/atom

=====

Entry 6:
Entry from Alexandria: FeNi at its PBEsol-relaxed geometry (meta-GGA SCAN).

abc: 3.9404 3.9404 3.9404
angles: 60.00 60.00 60.00
Last column: nearest neighbours and their distance in Å.
Sites, in units of the cell vectors:
1 Ni 0.2500 0.2500 0.2500  4 Ni 2.41, 4 Fe 2.41
2 Ni 0.0000 0.0000 0.0000  4 Fe 2.41, 4 Ni 2.41
3 Fe 0.5000 0.5000 0.5000  4 Ni 2.41, 4 Fe 2.41
4 Fe 0.7500 0.7500 0.7500  4 Fe 2.41, 4 Ni 2.41

Space-group type   Fd-3m (227)
DOS(E_F)   0.802 states/eV per atom
Total DFT energy (no corrections)   -17.208 eV/atom

=====

Entry 7:
Entry from Alexandria: MnPbBr2 at its PBEsol-relaxed geometry (meta-GGA SCAN).

abc: 3.4775 5.5723 6.0625
angles: 108.54 106.67 90.00
Last column: nearest neighbours and their distance in Å.
Sites, in units of the cell vectors:
1 Pb 0.5000 0.0000 0.0000  2 Br 3.02, 4 Mn 3.28
2 Mn 0.0000 0.5000 0.0000  4 Br 2.59
3 Br 0.3292 0.3075 0.6585  2 Mn 2.59
4 Br 0.6708 0.6925 0.3415  2 Mn 2.59

E_form (uncorrected)   -0.5343 eV/atom
Space-group type   C2/m (12)
Energy relative to the lowest polymorph listed for this composition   1 meV per atom
DOS(E_F)   0.310 states/eV per atom
Total DFT energy (no corrections)   -33.773 eV/atom

=====

Entry 8:
Entry from Alexandria: CuRuI2N at its PBEsol-relaxed geometry (meta-GGA SCAN).

abc: 3.6431 5.4179 5.4179
angles: 90.00 90.00 90.00
Last column: nearest neighbours and their distance in Å.
Sites, in units of the cell vectors:
1 N 0.5000 0.0000 0.0000  2 Ru 1.82
2 I 0.0000 0.5000 0.0000  2 Ru 2.71
3 I 0.0000 0.0000 0.5000  2 Ru 2.71
4 Cu 0.5000 0.5000 0.5000  8 I 3.26, 2 Cu 3.64
5 Ru 0.0000 0.0000 0.0000  2 N 1.82

E_form (uncorrected)   0.5926 eV/atom
Space-group type   P4/mmm (123)
DOS(E_F)   0.629 states/eV per atom
Total DFT energy (no corrections)   -25.967 eV/atom

=====

- What is the total DFT energy (no corrections) in the second record?
  -14.003 eV/atom

=====

- The lowest DOS(E_F) belongs to which entry?
  LiZr2P3O12